## a
VASP calculation (PBE) on crystalline ScAsH3 at its relaxed geometry.

Cell and atoms, written as CIF:
```
data_ScAsH3
_chemical_formula_sum 'Sc1 As1 H3'
_cell_length_a 3.7466
_cell_length_b 3.7466
_cell_length_c 3.7466
_cell_angle_alpha 90.00
_cell_angle_beta 90.00
_cell_angle_gamma 90.00
_space_group_name_H-M_alt 'P m -3 m'
_space_group_IT_number 221
_space_group_name_Hall '-P 4 2 3'
loop_
_atom_site_label
_atom_site_fract_x
_atom_site_fract_y
_atom_site_fract_z
Sc1 0.0000 0.0000 0.0000
As1 0.5000 0.5000 0.5000
H1 0.0000 0.0000 0.5000
```



## b
VASP calculation (PBE) on crystalline ScAsH3 at its relaxed geometry.

Cell and atoms, written as CIF:
```
data_ScAsH3
_chemical_formula_sum 'Sc1 As1 H3'
_cell_length_a 3.7289
_cell_length_b 3.7289
_cell_length_c 3.7289
_cell_angle_alpha 90.00
_cell_angle_beta 90.00
_cell_angle_gamma 90.00
_space_group_name_H-M_alt 'P m -3 m'
_space_group_IT_number 221
_space_group_name_Hall '-P 4 2 3'
loop_
_atom_site_label
_atom_site_fract_x
_atom_site_fract_y
_atom_site_fract_z
Sc1 0.0000 0.0000 0.0000
As1 0.5000 0.5000 0.5000
H1 0.0000 0.5000 0.5000
```



Name the least stable of them. b.



## a
VASP calculation (PBE) on crystalline Sc4As2H at its relaxed geometry.

Cell and atoms, written as CIF:
```
data_Sc4As2H
_chemical_formula_sum 'Sc8 As4 H2'
_cell_length_a 10.5694
_cell_length_b 3.6554
_cell_length_c 7.4305
_cell_angle_alpha 90.00
_cell_angle_beta 119.49
_cell_angle_gamma 90.00
_space_group_name_H-M_alt 'C 1 2/m 1'
_space_group_IT_number 12
_space_group_name_Hall '-C 2y'
loop_
_atom_site_label
_atom_site_fract_x
_atom_site_fract_y
_atom_site_fract_z
Sc1 0.0754 0.0000 0.3587
Sc2 0.1544 0.5000 0.0597
As1 0.1594 0.5000 0.6856
H1 0.0000 0.0000 0.0000
```



## b
VASP calculation (PBE) on crystalline Sc4As2H at its relaxed geometry.

Cell and atoms, written as CIF:
```
data_Sc4As2H
_chemical_formula_sum 'Sc8 As4 H2'
_cell_length_a 4.0254
_cell_length_b 4.0254
_cell_length_c 14.9178
_cell_angle_alpha 90.00
_cell_angle_beta 90.00
_cell_angle_gamma 90.00
_space_group_name_H-M_alt 'I 4/m m m'
_space_group_IT_number 139
_space_group_name_Hall '-I 4 2'
loop_
_atom_site_label
_atom_site_fract_x
_atom_site_fract_y
_atom_site_fract_z
Sc1 0.0000 0.0000 0.1789
Sc2 0.0000 0.5000 0.0000
As1 0.0000 0.0000 0.3634
H1 0.0000 0.0000 0.0000
```



Name the least stable of them. a.